Computed, not measured: a relaxed structure of RbC2F2 at the GGA-PBE level of DFT.

abc: 7.045 7.045 3.575
angles: 90.00 90.00 90.00
Element x y z (fractional)
F1 0.625 0.875 0.000
Rb1 0.500 0.500 0.000
F2 0.375 0.125 0.000
C1 0.432 0.068 0.500
Rb2 0.000 0.000 0.000
C2 0.932 0.432 0.500
C3 0.068 0.568 0.500
C4 0.568 0.932 0.500
F3 0.125 0.625 0.000
F4 0.875 0.375 0.000

Formation energy from raw total energies (eV/f.u.): 1.0
Offset from the most stable computed form (eV per atom): 0.000

=====

Computed, not measured: a relaxed structure of K2CdCuO4 at the GGA-PBE level of DFT.

abc: 6.187 5.578 5.578
angles: 72.09 56.32 56.32
Each line ends with the local moment (μB).
Element x y z (fractional)
O1 0.853 0.000 0.715  0.13
O2 0.432 0.715 0.000  0.13
K1 0.500 0.500 0.500  0.00
Cd1 0.000 0.000 0.000  -0.01
O3 0.147 0.285 0.000  0.13
Cu1 0.500 0.000 0.000  0.33
O4 0.568 0.000 0.285  0.13
K2 0.000 0.500 0.500  0.00

Formation energy from raw total energies (eV/f.u.): -6.0

=====

Computed, not measured: a relaxed structure of Mg8Pb at the GGA-PBE level of DFT.

abc: 7.191 7.191 7.191
angles: 95.78 95.78 142.99
Element x y z (fractional)
Pb1 0.000 0.000 0.000
Mg1 0.000 0.664 0.664
Mg2 0.669 0.331 0.000
Mg3 0.000 0.336 0.336
Mg4 0.669 0.669 0.338
Mg5 0.664 0.000 0.664
Mg6 0.331 0.669 0.000
Mg7 0.336 0.000 0.336
Mg8 0.331 0.331 0.662

Formation energy (kJ/mol of atoms): -2.6

=====

Computed, not measured: a relaxed structure of PdRh3Se6 at the GGA-PBE level of DFT.

abc: 7.028 7.717 7.717
angles: 100.29 90.00 90.00
Element x y z (fractional)
Se1 0.346 0.729 0.684
Se2 0.960 0.076 0.924
Se3 0.083 0.750 0.250
Se4 0.145 0.111 0.545
Pd1 0.905 0.354 0.646
Se5 0.583 0.250 0.750
Rh1 0.615 0.218 0.063
Se6 0.346 0.316 0.271
Se7 0.645 0.889 0.455
Rh2 0.115 0.063 0.218
Rh3 0.115 0.782 0.937
Se8 0.645 0.545 0.111
Se9 0.145 0.455 0.889
Rh4 0.826 0.615 0.385
Se10 0.846 0.271 0.316
Rh5 0.615 0.937 0.782
Se11 0.846 0.684 0.729
Se12 0.460 0.924 0.076
Rh6 0.326 0.385 0.615
Pd2 0.405 0.646 0.354

Formation energy from raw total energies (eV/f.u.): -1.9

=====

Computed, not measured: a relaxed structure of BaNpUS6 at the GGA-PBE level of DFT.

abc: 6.933 6.933 13.201
angles: 90.00 90.00 120.00
Each line ends with the local moment (μB).
Element x y z (fractional)
S1 0.624 0.007 0.360  -0.08
Np1 0.667 0.333 0.750  2.93
S2 0.618 0.624 0.640  -0.08
U1 0.667 0.333 0.250  0.62
S3 0.993 0.376 0.140  -0.08
Ba1 0.000 0.000 0.500  -0.01
S4 0.993 0.618 0.360  -0.08
S5 0.624 0.618 0.140  -0.08
Ba2 0.000 0.000 0.000  -0.01
S6 0.007 0.382 0.640  -0.08
S7 0.376 0.993 0.640  -0.08
Np2 0.333 0.667 0.250  2.93
S8 0.382 0.376 0.360  -0.08
S9 0.382 0.007 0.140  -0.08
U2 0.333 0.667 0.750  0.62
S10 0.007 0.624 0.860  -0.08
S11 0.618 0.993 0.860  -0.08
S12 0.376 0.382 0.860  -0.08

Formation energy from raw total energies (eV/f.u.): -12.5

=====

Computed, not measured: a relaxed structure of Hg2B2Au at the GGA-PBE level of DFT.

abc: 2.809 2.809 10.421
angles: 82.25 82.25 90.00
Element x y z (fractional)
Hg1 0.626 0.626 0.748
B1 0.250 0.750 0.500
B2 0.750 0.250 0.500
Au1 0.000 0.000 0.000
Hg2 0.374 0.374 0.252

Formation energy (kJ/mol of atoms): 83.0
Offset from the most stable computed form (eV per atom): 0.000

=====

Computed, not measured: a relaxed structure of HfPSe2Br at the GGA-PBE level of DFT.

abc: 5.190 5.190 5.302
angles: 90.00 90.00 90.00
Each line ends with the local moment (μB).
Element x y z (fractional)
Hf1 0.000 0.000 0.000  0.10
Se1 0.000 0.500 0.000  -0.10
P1 0.500 0.500 0.500  1.00
Se2 0.500 0.000 0.000  -0.10
Br1 0.000 0.000 0.500  0.03

Formation energy from raw total energies (eV/f.u.): 0.0
Offset from the most stable computed form (eV per atom): 0.000

=====

Computed, not measured: a relaxed structure of NbCuN2F at the GGA-PBE level of DFT.

abc: 4.064 4.064 4.076
angles: 90.00 90.00 90.00
Element x y z (fractional)
N1 0.000 0.500 0.000
N2 0.500 0.000 0.000
Nb1 0.000 0.000 0.000
Cu1 0.500 0.500 0.500
F1 0.000 0.000 0.500

Formation energy from raw total energies (eV/f.u.): -0.8
Offset from the most stable computed form (eV per atom): 0.000

=====

Number 1: size of the total moment 0.000 μB/atom. Number 2: size of the total moment 0.122 μB/atom. Number 3: size of the total moment 0.000 μB/atom. Number 4: size of the total moment 0.000 μB/atom. Number 5: size of the total moment 0.334 μB/atom. Number 6: size of the total moment 0.000 μB/atom. Number 7: size of the total moment 0.424 μB/atom. Number 8: size of the total moment 0.000 μB/atom.